Entry from Alexandria: a geometry-optimized KCr2PIr structure (PBE).

Computed properties:
Formation energy from the elements ... 2880 meV/atom
V ... 81.69 Å³/f.u.
Spin magnetization ... 0.0 μB/f.u.

Cell: 4.088 4.088 4.889 Å, 90.00 90.00 90.00°
Space group P4/mmm (No. 123)
Unique sites:
K (0.000, 0.000, 0.000)
Cr (0.000, 0.500, 0.000)
P (0.000, 0.000, 0.500)
Ir (0.500, 0.500, 0.500)

Entry from Alexandria: a geometry-optimized KCr2ReIr structure (PBE).

Computed properties:
Formation energy from the elements ... 3036 meV/atom
V ... 84.67 Å³/f.u.
Spin magnetization ... 4.6 μB/f.u.

Cell: 4.314 4.314 4.549 Å, 90.00 90.00 90.00°
Space group P4/mmm (No. 123)
Unique sites:
K (0.000, 0.000, 0.000)
Cr (0.000, 0.500, 0.000)
Re (0.000, 0.000, 0.500)
Ir (0.500, 0.500, 0.500)

Entry from Alexandria: a geometry-optimized KCrIrSe2 structure (PBE).

Computed properties:
Formation energy from raw total energies ... 199 kJ per mole of atoms
V ... 144.77 Å³/f.u.
Spin magnetization ... 6.3 μB/f.u.

Cell: 5.469 5.469 4.840 Å, 90.00 90.00 90.00°
Space group P4/mmm (No. 123)
Unique sites:
K (0.000, 0.000, 0.000)
Cr (0.000, 0.000, 0.500)
Ir (0.500, 0.500, 0.500)
Se (0.000, 0.500, 0.000)

Entry from Alexandria: a geometry-optimized K2SrCrIr structure (PBE).

Computed properties:
Formation energy from the elements ... 1352 meV/atom
V ... 243.16 Å³/f.u.
Spin magnetization ... 5.1 μB/f.u.

Cell: 6.906 6.906 5.099 Å, 90.00 90.00 90.00°
Space group P4/mmm (No. 123)
Unique sites:
K (0.000, 0.500, 0.000)
Sr (0.000, 0.000, 0.000)
Cr (0.500, 0.500, 0.500)
Ir (0.000, 0.000, 0.500)

Entry from Alexandria: a geometry-optimized KTa2CrIr structure (PBE).

Computed properties:
Formation energy from the elements ... 1801 meV/atom
V ... 100.79 Å³/f.u.
Spin magnetization ... 0.4 μB/f.u.

Cell: 4.613 4.613 4.737 Å, 90.00 90.00 90.00°
Space group P4/mmm (No. 123)
Unique sites:
K (0.000, 0.000, 0.000)
Ta (0.000, 0.500, 0.500)
Cr (0.000, 0.000, 0.500)
Ir (0.500, 0.500, 0.000)

Entry from Alexandria: a geometry-optimized KTl2CrIr structure (PBE).

Computed properties:
Formation energy from the elements ... 535 meV/atom
V ... 130.56 Å³/f.u.
Spin magnetization ... 1.3 μB/f.u.

Cell: 5.327 5.327 4.601 Å, 90.00 90.00 90.00°
Space group P4/mmm (No. 123)
Unique sites:
K (0.000, 0.000, 0.000)
Tl (0.000, 0.500, 0.500)
Cr (0.500, 0.500, 0.500)
Ir (0.500, 0.500, 0.000)

Entry from Alexandria: a geometry-optimized KCrIrW2 structure (PBE).

Computed properties:
Formation energy from the elements ... 1632 meV/atom
V ... 100.24 Å³/f.u.
Spin magnetization ... 0.0 μB/f.u.

Cell: 4.600 4.600 4.737 Å, 90.00 90.00 90.00°
Space group P4/mmm (No. 123)
Unique sites:
K (0.000, 0.000, 0.000)
Cr (0.500, 0.500, 0.500)
Ir (0.500, 0.500, 0.000)
W (0.000, 0.500, 0.500)

Entry from Alexandria: a geometry-optimized LaCr2Ir2 structure (PBE).

Computed properties:
Energy above the most stable polymorph in this dataset ... 0 meV per atom
Formation energy from the elements ... -185 meV/atom
V ... 92.01 Å³/f.u.
Spin magnetization ... 2.2 μB/f.u.

Cell: 4.242 4.242 10.225 Å, 90.00 90.00 90.00°
Space group I4/mmm (No. 139)
Unique sites:
La (0.000, 0.000, 0.000)
Cr (0.000, 0.500, 0.250)
Ir (0.000, 0.000, 0.369)